Entry 1:
Tl2HgMo: optimized geometry, GGA-PBE.

Output
SG: R3m, No. 160
ΔE to the lowest computed polymorph: 3.0 kJ/mol of atoms
magnetization: 0.00 Bohr magnetons per cell
calculated formation energy: 0.5809 eV per atom

Geometry as POSCAR:
```
Tl2HgMo
1.0
10.5639 -0.0846 -0.0495
10.1044 3.0829 -0.0495
10.1044 1.4658 2.7126
Hg Tl Mo
1 2 1
direct
0.4910 0.4910 0.4910
0.0095 0.0095 0.0095
0.2477 0.2477 0.2477
0.7519 0.7519 0.7519
```

---

Entry 2:
Nb3CoRe: optimized geometry, GGA-PBE.

Output
SG: Pm-3m, No. 221
ΔE to the lowest computed polymorph: 53.2 kJ/mol of atoms
magnetization: 1.87 Bohr magnetons per cell
calculated formation energy: 1.4974 eV per atom

Geometry as POSCAR:
```
Nb3CoRe
1.0
-0.1112 3.5387 3.2867
-3.3832 2.2890 -2.5790
-3.4465 -2.3611 2.4256
Nb Re Co
3 1 1
direct
0.0000 0.5000 0.0000
0.5000 0.0000 0.0000
0.0000 0.0000 0.5000
0.0000 0.0000 0.0000
0.5000 0.5000 0.5000
```

---

Entry 3:
Ho2Er3TmSb6: optimized geometry, GGA-PBE.

Output
SG: C2/m, No. 12
magnetization: 0.00 Bohr magnetons per cell
raw formation energy: -1.096 eV per atom

Geometry as POSCAR:
```
Ho2Er3TmSb6
1.0
-1.6966 -1.5810 3.6836
-4.9889 -5.4316 -4.6292
8.7484 -4.2501 -0.3666
Ho Sb Er Tm
2 6 3 1
direct
0.8335 0.6670 0.6670
0.1665 0.3330 0.3330
0.6665 0.5837 0.3329
0.3335 0.4163 0.6671
0.6663 0.0822 0.3325
0.3337 0.9178 0.6675
0.0004 0.7511 0.0009
0.9996 0.2489 0.9991
0.1670 0.8333 0.3340
0.5000 0.5000 0.0000
0.8330 0.1667 0.6660
0.5000 0.0000 0.0000
```

---

Entry 4:
AgPdPt3: optimized geometry, GGA-PBE.

Output
SG: P2_1/m, No. 11
ΔE to the lowest computed polymorph: 0.0 kJ/mol of atoms
magnetization: 0.00 Bohr magnetons per cell
calculated formation energy: 0.0551 eV per atom

Geometry as POSCAR:
```
AgPdPt3
1.0
-1.7317 -3.3928 -2.7260
9.3759 -2.1882 -3.2327
-2.0072 -3.7732 5.9713
Pt Pd Ag
12 4 4
direct
0.2500 0.9752 0.3738
0.2500 0.5735 0.5756
0.7500 0.3233 0.7251
0.2500 0.4752 0.8738
0.2500 0.6767 0.2749
0.7500 0.4265 0.4244
0.7500 0.5248 0.1262
0.7500 0.0248 0.6262
0.7500 0.9265 0.9244
0.2500 0.1767 0.7749
0.7500 0.8233 0.2251
0.2500 0.0735 0.0756
0.7500 0.1179 0.3244
0.2500 0.3821 0.1756
0.7500 0.6179 0.8244
0.2500 0.8821 0.6756
0.2500 0.7760 0.9711
0.7500 0.2240 0.0289
0.7500 0.7240 0.5289
0.2500 0.2760 0.4711
```

---

Entry 5:
Tb2Ge3Ir2: optimized geometry, GGA-PBE.

Output
SG: C2/m, No. 12
ΔE to the lowest computed polymorph: 5.5 kJ/mol of atoms
magnetization: 0.00 Bohr magnetons per cell
calculated formation energy: -0.6989 eV per atom

Geometry as POSCAR:
```
Tb2Ge3Ir2
1.0
-2.0674 -2.1163 -3.0269
4.9382 -2.1813 1.1116
-4.7178 -1.8477 4.5141
Tb Ir Ge
2 2 3
direct
0.8474 0.6949 0.2211
0.1526 0.3051 0.7789
0.1365 0.2729 0.2196
0.8635 0.7271 0.7804
0.5000 0.0000 0.0000
0.6204 0.2408 0.4453
0.3796 0.7592 0.5547
```

---

Entry 6:
CrNi2HgN: optimized geometry, GGA-PBE.

Output
SG: P4/mmm, No. 123
magnetization: 2.45 Bohr magnetons per cell
raw formation energy: -0.009 eV per atom

Geometry as POSCAR:
```
CrNi2HgN
1.0
3.9874 0.0000 0.0000
0.0000 3.9874 0.0000
0.0000 0.0000 3.8370
Cr Ni Hg N
1 2 1 1
direct
0.0000 0.0000 0.5000
0.0000 0.5000 0.0000
0.5000 0.0000 0.0000
0.5000 0.5000 0.5000
0.0000 0.0000 0.0000
```

---

Entry 7:
NaReSe2: optimized geometry, GGA-PBE.

Output
SG: R-3m, No. 166
ΔE to the lowest computed polymorph: 5.5 kJ/mol of atoms
magnetization: 0.00 Bohr magnetons per cell
raw formation energy: -0.054 eV per atom

Geometry as POSCAR:
```
NaReSe2
1.0
1.9563 0.0000 9.1504
-0.9781 1.6942 9.1504
-0.9781 -1.6942 9.1504
Na Se Re
1 2 1
direct
0.0000 0.0000 0.0000
0.1065 0.1065 0.1065
0.8935 0.8935 0.8935
0.5000 0.5000 0.5000
```

---

Entry 8:
PaZn2Pt: optimized geometry, GGA-PBE.

Output
SG: P4/mmm, No. 123
ΔE to the lowest computed polymorph: 23.6 kJ/mol of atoms
magnetization: 0.42 Bohr magnetons per cell
calculated formation energy: -0.2791 eV per atom

Geometry as POSCAR:
```
PaZn2Pt
1.0
-0.9229 2.1009 -2.1819
-3.0278 -0.5782 0.7239
0.1835 5.1474 4.8786
Zn Pt Pa
2 1 1
direct
0.0000 0.0000 0.8008
0.0000 0.0000 0.1992
0.5000 0.5000 0.0000
0.5000 0.5000 0.5000
```

---

Entry 9:
ScCrOs: optimized geometry, GGA-PBE.

Output
SG: F-43m, No. 216
ΔE to the lowest computed polymorph: 125.8 kJ/mol of atoms
magnetization: 3.66 Bohr magnetons per cell
calculated formation energy: 1.0243 eV per atom

Geometry as POSCAR:
```
ScCrOs
1.0
4.3381 0.0000 0.0000
2.1691 3.7569 0.0000
2.1691 1.2523 3.5421
Sc Cr Os
1 1 1
direct
0.2500 0.2500 0.2500
0.0000 0.0000 0.0000
0.5000 0.5000 0.5000
```

---

Entry 10:
Ce4Tl5Pb: optimized geometry, GGA-PBE.

Output
SG: C2/m, No. 12
ΔE to the lowest computed polymorph: 0.0 kJ/mol of atoms
magnetization: 3.98 Bohr magnetons per cell
calculated formation energy: -0.2266 eV per atom

Geometry as POSCAR:
```
Ce4Tl5Pb
1.0
-1.3489 -2.3930 -4.7126
-4.4029 -3.9695 3.2758
-3.8324 7.7658 0.3104
Ce Tl Pb
4 5 1
direct
0.9167 0.1586 0.8334
0.3099 0.7070 0.6198
0.6901 0.2930 0.3802
0.0833 0.8414 0.1666
0.2927 0.1912 0.5854
0.1121 0.3908 0.2242
0.5000 0.5000 0.0000
0.7073 0.8088 0.4146
0.8879 0.6092 0.7758
0.5000 0.0000 0.0000
```

---

Entry 11:
TcRh2Br: optimized geometry, GGA-PBE.

Output
SG: Imm2, No. 44
ΔE to the lowest computed polymorph: 29.7 kJ/mol of atoms
magnetization: 0.00 Bohr magnetons per cell
raw formation energy: 0.647 eV per atom

Geometry as POSCAR:
```
TcRh2Br
1.0
-2.2027 4.9777 1.4164
-1.7406 1.2954 5.1892
4.0979 -1.5759 -3.5155
Tc Br Rh
1 1 2
direct
0.4789 0.4789 0.0000
0.2702 0.7702 0.5000
0.7170 0.2170 0.5000
0.0340 0.0340 0.0000
```

---

Entry 12:
Nd2TlO2: optimized geometry, GGA-PBE.

Output
SG: I4/mmm, No. 139
magnetization: 1.16 Bohr magnetons per cell
raw formation energy: -2.322 eV per atom

Geometry as POSCAR:
```
Nd2TlO2
1.0
-1.1549 -3.7615 1.0152
3.5884 -1.4394 -1.2510
1.3698 3.5224 6.4761
Nd Tl O
2 1 2
direct
0.6660 0.6660 0.3319
0.3340 0.3340 0.6681
0.0000 0.0000 0.0000
0.2500 0.7500 0.5000
0.7500 0.2500 0.5000
```

---

> What is the magnetization in the sixth record?

2.45 Bohr magnetons per cell